No. 1
! TmNbH3 | Alexandria | PBE | optimized geometry; values from VASP
! SG: Pm-3m, No. 221
! Calculated total energy, eV for the cell shown: -26.156
&SYSTEM
  ibrav = 0, nat = 5, ntyp = 3
/
ATOMIC_SPECIES
H 1.01 H.upf
Tm 168.93 Tm.upf
Nb 92.91 Nb.upf
CELL_PARAMETERS angstrom
3.748 0.000 0.000
0.000 3.748 0.000
0.000 0.000 3.748
ATOMIC_POSITIONS crystal
H 0.000 0.000 0.500
H 0.500 0.000 0.000
Tm 0.500 0.500 0.500
H 0.000 0.500 0.000
Nb 0.000 0.000 0.000

No. 2
! U3Nb5H12 | Alexandria | PBE | optimized geometry; values from VASP
! SG: Ia-3d, No. 230
! Calculated total energy, eV for the cell shown: -508.566
&SYSTEM
  ibrav = 0, nat = 80, ntyp = 3
/
ATOMIC_SPECIES
H 1.01 H.upf
Nb 92.91 Nb.upf
U 238.03 U.upf
CELL_PARAMETERS angstrom
10.261 0.000 0.000
-3.420 9.674 0.000
-3.420 -4.837 8.378
ATOMIC_POSITIONS crystal
H 0.165 0.084 0.715
H 0.285 0.869 0.950
Nb 0.000 0.000 0.500
H 0.835 0.916 0.285
Nb 0.500 0.000 0.500
H 0.919 0.835 0.550
H 0.869 0.584 0.919
H 0.665 0.450 0.581
H 0.335 0.785 0.416
H 0.950 0.369 0.285
H 0.450 0.785 0.869
H 0.215 0.550 0.631
U 0.250 0.125 0.375
H 0.550 0.335 0.919
H 0.215 0.665 0.084
H 0.084 0.165 0.215
H 0.416 0.131 0.581
H 0.416 0.285 0.335
H 0.950 0.581 0.165
U 0.750 0.875 0.625
H 0.369 0.419 0.084
Nb 0.250 0.375 0.625
H 0.165 0.081 0.950
U 0.125 0.875 0.750
H 0.131 0.715 0.550
U 0.875 0.750 0.125
H 0.916 0.835 0.785
Nb 0.125 0.375 0.250
H 0.369 0.950 0.785
H 0.916 0.081 0.631
Nb 0.375 0.125 0.750
H 0.869 0.285 0.450
Nb 0.500 0.000 0.000
Nb 0.875 0.625 0.750
Nb 0.500 0.500 0.500
H 0.419 0.369 0.584
H 0.581 0.950 0.665
U 0.375 0.625 0.250
Nb 0.750 0.125 0.875
U 0.625 0.375 0.750
H 0.450 0.665 0.081
Nb 0.125 0.750 0.375
H 0.785 0.335 0.916
U 0.625 0.250 0.375
Nb 0.750 0.625 0.375
Nb 0.000 0.500 0.000
H 0.285 0.416 0.835
H 0.631 0.050 0.215
H 0.715 0.584 0.165
U 0.750 0.375 0.125
H 0.050 0.419 0.835
Nb 0.625 0.875 0.250
U 0.375 0.750 0.625
H 0.581 0.631 0.416
H 0.081 0.165 0.450
H 0.335 0.550 0.419
H 0.665 0.215 0.584
H 0.715 0.131 0.050
H 0.084 0.919 0.369
Nb 0.625 0.750 0.875
H 0.631 0.581 0.916
U 0.125 0.250 0.875
H 0.419 0.050 0.335
Nb 0.500 0.500 0.000
H 0.785 0.450 0.369
Nb 0.000 0.500 0.500
H 0.081 0.916 0.131
H 0.131 0.416 0.081
Nb 0.250 0.875 0.125
H 0.550 0.215 0.131
Nb 0.375 0.250 0.125
Nb 0.875 0.250 0.625
H 0.835 0.919 0.050
U 0.875 0.125 0.250
H 0.584 0.869 0.419
H 0.919 0.084 0.869
H 0.584 0.715 0.665
Nb 0.000 0.000 0.000
U 0.250 0.625 0.875
H 0.050 0.631 0.715

No. 3
! Nb2VH4 | Alexandria | PBE | optimized geometry; values from VASP
! Excess energy over the best structure of this formula in the dataset, eV/atom: 0.000
! SG: I4/mmm, No. 139
! Calculated total energy, eV for the cell shown: -42.916
&SYSTEM
  ibrav = 0, nat = 7, ntyp = 3
/
ATOMIC_SPECIES
H 1.01 H.upf
Nb 92.91 Nb.upf
V 50.94 V.upf
CELL_PARAMETERS angstrom
3.312 0.000 0.000
0.000 3.312 0.000
1.656 1.656 5.413
ATOMIC_POSITIONS crystal
H 0.165 0.165 0.671
H 0.835 0.835 0.329
H 0.500 0.000 0.000
Nb 0.344 0.344 0.313
H 0.000 0.500 0.000
V 0.000 0.000 0.000
Nb 0.656 0.656 0.687

No. 4
! NbV2H3 | Alexandria | PBE | optimized geometry; values from VASP
! SG: P2_1/m, No. 11
! Calculated total energy, eV for the cell shown: -77.796
&SYSTEM
  ibrav = 0, nat = 12, ntyp = 3
/
ATOMIC_SPECIES
H 1.01 H.upf
V 50.94 V.upf
Nb 92.91 Nb.upf
CELL_PARAMETERS angstrom
-2.969 -0.282 -0.152
0.029 -2.462 3.991
-0.793 5.810 4.710
ATOMIC_POSITIONS crystal
H 0.250 0.282 0.920
V 0.750 0.765 0.528
Nb 0.250 0.770 0.881
H 0.250 0.509 0.646
H 0.750 0.491 0.354
V 0.250 0.235 0.472
Nb 0.750 0.230 0.119
V 0.750 0.298 0.748
H 0.750 0.718 0.080
H 0.750 0.920 0.735
H 0.250 0.080 0.265
V 0.250 0.702 0.252

No. 5
! NbV2H | Alexandria | PBE | optimized geometry; values from VASP
! Excess energy over the best structure of this formula in the dataset, eV/atom: 0.366
! SG: R-3m, No. 166
! Calculated total energy, eV for the cell shown: -30.505
&SYSTEM
  ibrav = 0, nat = 4, ntyp = 3
/
ATOMIC_SPECIES
Nb 92.91 Nb.upf
H 1.01 H.upf
V 50.94 V.upf
CELL_PARAMETERS angstrom
-1.983 -0.863 1.704
0.640 -1.544 2.188
0.408 5.448 5.458
ATOMIC_POSITIONS crystal
Nb 0.000 0.000 0.000
H 0.500 0.500 0.500
V 0.113 0.113 0.660
V 0.887 0.887 0.340

No. 6
! NbV2H6 | Alexandria | PBE | optimized geometry; values from VASP
! SG: Immm, No. 71
! Calculated total energy, eV for the cell shown: -50.461
&SYSTEM
  ibrav = 0, nat = 9, ntyp = 3
/
ATOMIC_SPECIES
H 1.01 H.upf
V 50.94 V.upf
Nb 92.91 Nb.upf
CELL_PARAMETERS angstrom
2.909 0.000 -0.940
-0.643 3.817 -1.991
0.103 0.292 5.286
ATOMIC_POSITIONS crystal
H 0.500 0.275 0.000
H 0.173 0.435 0.346
H 0.827 0.089 0.654
V 0.330 0.330 0.660
H 0.500 0.725 0.000
V 0.670 0.670 0.340
H 0.173 0.911 0.346
Nb 0.000 0.000 0.000
H 0.827 0.565 0.654

No. 7
! NbV2H | Alexandria | PBE | optimized geometry; values from VASP
! Excess energy over the best structure of this formula in the dataset, eV/atom: 0.943
! SG: Fm-3m, No. 225
! Calculated total energy, eV for the cell shown: -28.196
&SYSTEM
  ibrav = 0, nat = 4, ntyp = 3
/
ATOMIC_SPECIES
V 50.94 V.upf
Nb 92.91 Nb.upf
H 1.01 H.upf
CELL_PARAMETERS angstrom
0.000 2.993 2.993
2.993 0.000 2.993
2.993 2.993 0.000
ATOMIC_POSITIONS crystal
V 0.750 0.750 0.750
Nb 0.500 0.500 0.500
H 0.000 0.000 0.000
V 0.250 0.250 0.250

No. 8
! NbV2H | Alexandria | PBE | optimized geometry; values from VASP
! Excess energy over the best structure of this formula in the dataset, eV/atom: 0.000
! SG: Cccm, No. 66
! Calculated total energy, eV for the cell shown: -63.935
&SYSTEM
  ibrav = 0, nat = 8, ntyp = 3
/
ATOMIC_SPECIES
H 1.01 H.upf
V 50.94 V.upf
Nb 92.91 Nb.upf
CELL_PARAMETERS angstrom
-0.368 4.409 -0.314
-3.444 -0.489 -2.835
-2.864 -2.196 3.854
ATOMIC_POSITIONS crystal
H 0.363 0.871 0.454
V 0.711 0.621 0.619
Nb 0.863 0.121 0.954
H 0.363 0.371 0.454
Nb 0.363 0.621 0.954
V 0.015 0.621 0.288
V 0.180 0.121 0.619
V 0.546 0.121 0.288